Density functional theory data (PBE-GGA) for DyInRh after structural relaxation.

Values from the calculation:
Calculated formation energy: -2.0 eV/f.u.

POSCAR file:
```
DyInRh
1.0
2.220 -4.930 0.000
2.220 4.930 0.000
0.000 0.000 5.890
Dy In Rh
2 2 2
Cartesian
2.220 2.907 4.417
2.220 -2.907 1.472
2.220 0.000 0.000
2.220 0.000 2.945
2.220 3.991 1.472
2.220 -3.991 4.417
```

---

Density functional theory data (PBE-GGA) for Ti6Zn2Ga after structural relaxation.

Values from the calculation:
Calculated formation energy: 0.2 eV/f.u.
Polymorph energy (0 for the lowest one): 0.086 eV/atom

POSCAR file:
```
Ti6Zn2Ga
1.0
-1.350 3.911 6.991
1.350 -3.911 6.991
1.350 3.911 -6.991
Ti Zn Ga
6 2 1
Cartesian
1.350 -1.419 4.629
0.000 1.372 0.000
0.000 2.492 2.362
1.350 1.419 4.629
0.000 6.451 0.000
0.000 5.331 2.362
1.350 0.000 2.144
0.000 3.911 4.847
0.000 0.000 6.991
```

---

Density functional theory data (PBE-GGA) for Ac3Tl4SnTe8 after structural relaxation.

Values from the calculation:
ΔE_f (raw): -895 meV per atom

POSCAR file:
```
Ac3Tl4SnTe8
1.0
4.755 2.745 8.030
-4.755 2.745 8.030
0.000 -5.490 8.030
Ac Tl Sn Te
3 4 1 8
Cartesian
-2.377 -1.373 8.030
-2.377 1.373 16.060
0.000 2.745 8.030
-4.755 0.000 12.045
-2.377 1.373 4.015
2.377 1.373 4.015
0.000 0.000 12.045
0.000 0.000 0.000
0.000 -2.836 9.845
-2.456 1.418 9.845
-2.456 -1.418 14.244
0.000 0.000 6.157
0.000 0.000 17.932
2.456 1.418 9.845
2.456 -1.418 14.244
0.000 2.836 14.244
```

---

Density functional theory data (PBE-GGA) for CsKCa2Pt after structural relaxation.

Values from the calculation:
Calculated formation energy: -1.0 eV/f.u.

POSCAR file:
```
CsKCa2Pt
1.0
5.707 0.000 0.000
0.000 5.707 0.000
0.000 0.000 6.875
Cs K Ca Pt
1 1 2 1
Cartesian
0.000 0.000 0.000
2.853 2.853 0.000
0.000 2.853 3.437
2.853 0.000 3.437
2.853 2.853 3.437
```